Compound: TaInPb2
Source: Alexandria
Functional: GGA-PBE
Structure: optimized geometry

```
TaInPb2
1.0
-5.0883 1.9359 -2.7230
-5.9903 -0.4927 -0.9625
-2.3609 3.5257 3.6541
Pb In Ta
2 1 1
Direct
0.7765 0.7765 0.6866 Pb
0.9797 0.9797 0.0538 Pb
0.2203 0.2203 0.2187 In
0.5234 0.5234 0.5409 Ta
```

SG ... Cm
VASP energy ... -20.12 eV/f.u.
Mass density ... 11.87 Mg/m³
Formation energy from the elements ... 471 meV/atom